<P>
Compound: SbIrPb2O6
Source: OQMD via LeMat-Bulk
Functional: PBE-GGA
Structure: relaxed

Summary:
The total magnetic moment is 0.0002 μB/atom. As for the density: 10.41 g cm⁻³. Its crystal system is monoclinic.

Cell lengths 5.684, 5.684, 9.929 Å; angles 105.13, 105.13, 59.25 degrees
Element x y z (fractional)
1 O 0.305 0.871 0.586
2 O 0.692 0.627 0.372
3 O 0.834 0.875 0.655
4 O 0.125 0.166 0.845
5 O 0.308 0.373 0.628
6 O 0.373 0.308 0.128
7 O 0.695 0.129 0.414
8 O 0.166 0.125 0.345
9 O 0.871 0.305 0.086
10 O 0.875 0.834 0.155
11 O 0.129 0.695 0.914
12 O 0.627 0.692 0.872
13 Pb 0.873 0.382 0.628
14 Pb 0.618 0.127 0.872
15 Pb 0.127 0.618 0.372
16 Pb 0.382 0.873 0.128
17 Ir 0.758 0.242 0.250
18 Ir 0.242 0.758 0.750
19 Sb 0.000 0.500 0.000
20 Sb 0.500 0.000 0.500

=====

<Q>
Compound: SbIrPb2O6
Source: OQMD via LeMat-Bulk
Functional: PBE-GGA
Structure: relaxed

Summary:
The total magnetic moment is 0.0004 μB/atom. As for the density: 10.00 g cm⁻³. Its crystal system is triclinic.

Cell lengths 5.080, 5.114, 5.635 Å; angles 100.55, 97.89, 104.25 degrees
Element x y z (fractional)
1 O 0.191 0.201 0.755
2 O 0.809 0.799 0.245
3 O 0.265 0.767 0.069
4 O 0.735 0.233 0.931
5 O 0.690 0.689 0.758
6 O 0.310 0.311 0.242
7 Pb 0.232 0.750 0.476
8 Pb 0.768 0.250 0.524
9 Sb 0.500 0.500 0.000
10 Ir 0.000 0.000 0.000

=====

Ranked by calculated energy, most stable first: <P>, <Q>.

=====

<P>
Compound: Ir2Pd2O5
Source: OQMD via LeMat-Bulk
Functional: PBE-GGA
Structure: relaxed

Summary:
The total magnetic moment is 0.5304 μB/atom. As for the density: 10.58 g cm⁻³. Its crystal system is tetragonal.

Cell lengths 9.597, 3.327, 3.327 Å; angles 90.00, 90.00, 90.00 degrees
Each line ends with the local moment (μB).
Element x y z (fractional)
1 O 0.124 0.500 0.000  0.31
2 O 0.876 0.000 0.500  0.24
3 O 0.500 0.500 0.500  0.25
4 O 0.124 0.000 0.500  0.24
5 O 0.876 0.500 0.000  0.31
6 Pd 0.281 0.500 0.500  0.94
7 Pd 0.719 0.500 0.500  0.94
8 Ir 0.500 0.000 0.000  1.38
9 Ir 0.000 0.000 0.000  -0.01

=====

<Q>
Compound: Ir2Pd2O5
Source: OQMD via LeMat-Bulk
Functional: PBE-GGA
Structure: relaxed

Summary:
The total magnetic moment is 0.0816 μB/atom. As for the density: 9.67 g cm⁻³. Its crystal system is tetragonal.

Cell lengths 8.135, 3.781, 3.781 Å; angles 90.00, 90.00, 90.00 degrees
Each line ends with the local moment (μB).
Element x y z (fractional)
1 Ir 0.766 0.500 0.500  -0.01
2 Ir 0.234 0.500 0.500  -0.01
3 O 0.500 0.500 0.500  0.15
4 O 0.786 0.500 0.000  0.01
5 O 0.214 0.000 0.500  0.00
6 O 0.214 0.500 0.000  0.01
7 O 0.786 0.000 0.500  0.00
8 Pd 0.500 0.000 0.000  0.53
9 Pd 0.000 0.000 0.000  0.04

=====

Ranked by calculated energy, most stable first: <Q>, <P>.

=====

<P>
Compound: Pr2Ir2O5
Source: OQMD via LeMat-Bulk
Functional: PBE-GGA
Structure: relaxed

Summary:
The total magnetic moment is 0.0644 μB/atom. As for the density: 9.58 g cm⁻³. Its crystal system is tetragonal.

Cell lengths 9.747, 3.643, 3.643 Å; angles 90.00, 90.00, 90.00 degrees
Each line ends with the local moment (μB).
Element x y z (fractional)
1 O 0.500 0.500 0.500  0.00
2 O 0.881 0.000 0.500  0.00
3 O 0.119 0.000 0.500  0.00
4 O 0.881 0.500 0.000  0.04
5 O 0.119 0.500 0.000  0.04
6 Pr 0.266 0.500 0.500  0.01
7 Pr 0.734 0.500 0.500  0.01
8 Ir 0.500 0.000 0.000  0.09
9 Ir 0.000 0.000 0.000  0.32

=====

<Q>
Compound: Pr2Ir2O5
Source: OQMD via LeMat-Bulk
Functional: PBE-GGA
Structure: relaxed

Summary:
The total magnetic moment is 0.0005 μB/atom. As for the density: 10.94 g cm⁻³. Its crystal system is tetragonal.

Cell lengths 7.166, 3.976, 3.976 Å; angles 90.00, 90.00, 90.00 degrees
Element x y z (fractional)
1 O 0.247 0.000 0.500
2 O 0.753 0.500 0.000
3 O 0.247 0.500 0.000
4 O 0.500 0.500 0.500
5 O 0.753 0.000 0.500
6 Pr 0.000 0.000 0.000
7 Pr 0.500 0.000 0.000
8 Ir 0.809 0.500 0.500
9 Ir 0.191 0.500 0.500

=====

Ranked by calculated energy, most stable first: <Q>, <P>.

=====

<P>
Compound: Rb2Ir2O5
Source: OQMD via LeMat-Bulk
Functional: PBE-GGA
Structure: relaxed

Summary:
The total magnetic moment is 0.1475 μB/atom. As for the density: 7.98 g cm⁻³. Its crystal system is tetragonal.

Cell lengths 12.055, 3.311, 3.311 Å; angles 90.00, 90.00, 90.00 degrees
Each line ends with the local moment (μB).
Element x y z (fractional)
1 Ir 0.500 0.000 0.000  1.11
2 Ir 0.000 0.000 0.000  0.00
3 O 0.097 0.000 0.500  0.01
4 O 0.903 0.000 0.500  0.01
5 O 0.500 0.500 0.500  0.14
6 O 0.097 0.500 0.000  0.01
7 O 0.903 0.500 0.000  0.01
8 Rb 0.726 0.500 0.500  0.00
9 Rb 0.274 0.500 0.500  0.00

=====

<Q>
Compound: Rb2Ir2O5
Source: OQMD via LeMat-Bulk
Functional: PBE-GGA
Structure: relaxed

Summary:
The total magnetic moment is 0.0049 μB/atom. As for the density: 7.86 g cm⁻³. Its crystal system is tetragonal.

Cell lengths 9.000, 3.863, 3.863 Å; angles 90.00, 90.00, 90.00 degrees
Element x y z (fractional)
1 O 0.758 0.000 0.500
2 O 0.242 0.500 0.000
3 O 0.242 0.000 0.500
4 O 0.758 0.500 0.000
5 O 0.500 0.500 0.500
6 Rb 0.500 0.000 0.000
7 Rb 0.000 0.000 0.000
8 Ir 0.737 0.500 0.500
9 Ir 0.263 0.500 0.500

=====

Ranked by calculated energy, most stable first: <Q>, <P>.